(1)
Density functional theory data (PBE) for crystalline Er2GaB2Ir5 at its relaxed geometry.

Lattice parameters (Å, degrees): 9.5481 9.5481 3.1694 90.00 90.00 90.00
Closest atoms and distances in Å follow each position.
Fractional coordinates of all 20 atoms:
Er  0.1766  0.3234  0.0000  3 B 2.72-2.90, 10 Ir 2.86-3.00
Er  0.3234  0.8234  0.0000  3 B 2.72-2.90, 10 Ir 2.86-3.00
Er  0.6766  0.1766  0.0000  3 B 2.72-2.90, 10 Ir 2.86-3.00
Er  0.8234  0.6766  0.0000  3 B 2.72-2.90, 10 Ir 2.86-3.00
Ga  0.0000  0.0000  0.0000  8 Ir 2.70
Ga  0.5000  0.5000  0.0000  8 Ir 2.70
B  0.1222  0.6222  0.0000  6 Ir 2.25-2.29
B  0.3778  0.1222  0.0000  6 Ir 2.25-2.29
B  0.6222  0.8778  0.0000  6 Ir 2.25-2.29
B  0.8778  0.3778  0.0000  6 Ir 2.25-2.29
Ir  0.0000  0.5000  0.5000  4 B 2.29
Ir  0.0688  0.7812  0.5000  2 B 2.25
Ir  0.2188  0.0688  0.5000  2 B 2.25
Ir  0.2812  0.5688  0.5000  2 B 2.25
Ir  0.4312  0.2812  0.5000  2 B 2.25
Ir  0.5000  0.0000  0.5000  4 B 2.29
Ir  0.5688  0.7188  0.5000  2 B 2.25
Ir  0.7188  0.4312  0.5000  2 B 2.25
Ir  0.7812  0.9312  0.5000  2 B 2.25
Ir  0.9312  0.2188  0.5000  2 B 2.25

Fermi-level density of states = 0.268 states/eV/atom
Energy of formation = -0.77 eV per atom

(2)
Density functional theory data (PBE) for crystalline Er3GaNi9B2 at its relaxed geometry.

Lattice parameters (Å, degrees): 5.3620 5.3620 8.3880 90.00 90.00 120.00
Closest atoms and distances in Å follow each position.
Fractional coordinates of all 15 atoms:
Er  0.0000  0.0000  0.0000  12 Ni 2.68-2.80
Er  0.3333  0.6667  0.6304  6 Ni 2.79
Er  0.6667  0.3333  0.3696  6 Ni 2.79
Ga  0.0000  0.0000  0.5000  6 Ni 2.41
Ni  0.0000  0.5000  0.0000  2 B 1.96
Ni  0.1655  0.3309  0.2788  1 B 1.92
Ni  0.1655  0.8345  0.2788  1 B 1.92
Ni  0.3309  0.1655  0.7212  1 B 1.92
Ni  0.5000  0.0000  0.0000  2 B 1.96
Ni  0.5000  0.5000  0.0000  2 B 1.96
Ni  0.6691  0.8345  0.2788  1 B 1.92
Ni  0.8345  0.1655  0.7212  1 B 1.92
Ni  0.8345  0.6691  0.7212  1 B 1.92
B  0.3333  0.6667  0.1442  6 Ni 1.92-1.96
B  0.6667  0.3333  0.8558  6 Ni 1.92-1.96

Fermi-level density of states = 0.285 states/eV/atom
Energy of formation = -0.44 eV per atom

(3)
Density functional theory data (PBE) for crystalline Er2GaBRh6 at its relaxed geometry.

Lattice parameters (Å, degrees): 6.1795 6.1795 6.1795 60.00 60.00 60.00
Closest atoms and distances in Å follow each position.
Fractional coordinates of all 10 atoms:
Er  0.2500  0.2500  0.2500  12 Rh 3.09
Er  0.7500  0.7500  0.7500  12 Rh 3.09
Ga  0.0000  0.0000  0.0000  6 Rh 2.34
B  0.5000  0.5000  0.5000  6 Rh 2.03
Rh  0.2673  0.2673  0.7327  1 B 2.03
Rh  0.2673  0.7327  0.2673  1 B 2.03
Rh  0.2673  0.7327  0.7327  1 B 2.03
Rh  0.7327  0.2673  0.2673  1 B 2.03
Rh  0.7327  0.2673  0.7327  1 B 2.03
Rh  0.7327  0.7327  0.2673  1 B 2.03

Fermi-level density of states = 0.867 states/eV/atom
Energy of formation = -0.58 eV per atom

(4)
Density functional theory data (PBE) for crystalline Er2GaB2Rh5 at its relaxed geometry.

Lattice parameters (Å, degrees): 9.4700 9.4700 3.1749 90.00 90.00 90.00
Closest atoms and distances in Å follow each position.
Fractional coordinates of all 20 atoms:
Er  0.1753  0.3247  0.0000  3 B 2.70-2.87, 10 Rh 2.83-2.99
Er  0.3247  0.8247  0.0000  3 B 2.70-2.87, 10 Rh 2.83-2.99
Er  0.6753  0.1753  0.0000  3 B 2.70-2.87, 10 Rh 2.83-2.99
Er  0.8247  0.6753  0.0000  3 B 2.70-2.87, 10 Rh 2.83-2.99
Ga  0.0000  0.0000  0.0000  8 Rh 2.69
Ga  0.5000  0.5000  0.0000  8 Rh 2.69
B  0.1231  0.6231  0.0000  6 Rh 2.24-2.29
B  0.3769  0.1231  0.0000  6 Rh 2.24-2.29
B  0.6231  0.8769  0.0000  6 Rh 2.24-2.29
B  0.8769  0.3769  0.0000  6 Rh 2.24-2.29
Rh  0.0000  0.5000  0.5000  4 B 2.29
Rh  0.0699  0.7814  0.5000  2 B 2.24
Rh  0.2186  0.0699  0.5000  2 B 2.24
Rh  0.2814  0.5699  0.5000  2 B 2.24
Rh  0.4301  0.2814  0.5000  2 B 2.24
Rh  0.5000  0.0000  0.5000  4 B 2.29
Rh  0.5699  0.7186  0.5000  2 B 2.24
Rh  0.7186  0.4301  0.5000  2 B 2.24
Rh  0.7814  0.9301  0.5000  2 B 2.24
Rh  0.9301  0.2186  0.5000  2 B 2.24

Fermi-level density of states = 0.293 states/eV/atom
Energy of formation = -0.86 eV per atom

(5)
Density functional theory data (PBE) for crystalline Er2Ga2BRh4 at its relaxed geometry.

Lattice parameters (Å, degrees): 5.8068 5.8068 5.8068 117.39 117.39 94.58
Closest atoms and distances in Å follow each position.
Fractional coordinates of all 9 atoms:
Er  0.2500  0.7500  0.5000  8 Rh 2.90, 4 Ga 3.04
Er  0.7500  0.2500  0.5000  8 Rh 2.90, 4 Ga 3.04
Ga  0.1985  0.1985  0.0000  1 B 2.37
Ga  0.8015  0.8015  0.0000  1 B 2.37
B  0.5000  0.5000  0.0000  4 Rh 2.11
Rh  0.2523  0.2523  0.5046  1 B 2.11
Rh  0.2523  0.7477  0.0000  1 B 2.11
Rh  0.7477  0.2523  0.0000  1 B 2.11
Rh  0.7477  0.7477  0.4954  1 B 2.11

Fermi-level density of states = 0.465 states/eV/atom
Energy of formation = -0.73 eV per atom

(6)
Density functional theory data (PBE) for crystalline Er3Ga2BRu3 at its relaxed geometry.

Lattice parameters (Å, degrees): 7.2000 7.2000 3.4375 90.00 90.00 120.00
Closest atoms and distances in Å follow each position.
Fractional coordinates of all 9 atoms:
Er  0.0000  0.3647  0.0000  1 B 2.63, 4 Ga 2.87, 4 Ru 2.87
Er  0.3647  0.0000  0.0000  1 B 2.63, 4 Ga 2.87, 4 Ru 2.87
Er  0.6353  0.6353  0.0000  1 B 2.63, 4 Ga 2.87, 4 Ru 2.87
Ga  0.3333  0.6667  0.5000  3 Ru 2.85, 6 Er 2.87
Ga  0.6667  0.3333  0.5000  3 Ru 2.85, 6 Er 2.87
B  0.0000  0.0000  0.0000  6 Ru 2.39, 3 Er 2.63
Ru  0.0000  0.7700  0.5000  2 B 2.39
Ru  0.2300  0.2300  0.5000  2 B 2.39
Ru  0.7700  0.0000  0.5000  2 B 2.39

Fermi-level density of states = 0.549 states/eV/atom
Energy of formation = -0.51 eV per atom

(7)
Density functional theory data (PBE) for crystalline GdEr3B at its relaxed geometry.

Lattice parameters (Å, degrees): 5.1179 5.1179 5.1179 90.00 90.00 90.00
Closest atoms and distances in Å follow each position.
Fractional coordinates of all 5 atoms:
Gd  0.0000  0.0000  0.0000  12 Er 3.62
Er  0.0000  0.5000  0.5000  2 B 2.56
Er  0.5000  0.0000  0.5000  2 B 2.56
Er  0.5000  0.5000  0.0000  2 B 2.56
B  0.5000  0.5000  0.5000  6 Er 2.56

Fermi-level density of states = 1.458 states/eV/atom
Energy of formation = 0.04 eV per atom

(8)
Density functional theory data (PBE) for crystalline ErGeB at its relaxed geometry.

Lattice parameters (Å, degrees): 3.6076 3.6076 4.2262 90.00 90.00 120.00
Closest atoms and distances in Å follow each position.
Fractional coordinates of all 3 atoms:
Er  0.0000  0.0000  0.0000  3 B 2.67, 3 Ge 2.92
Ge  0.6667  0.3333  0.5160  3 B 2.14
B  0.3333  0.6667  0.3964  3 Ge 2.14

Fermi-level density of states = 0.141 states/eV/atom
Offset from the most stable computed form = 0 meV per atom
Energy of formation = -0.47 eV per atom